Entry 1:
# LaLuPdAu

A geometry-optimized LaLuPdAu structure (PBE, the Alexandria database).

Properties
Space group: F-43m (216)
E_form: -0.81 eV per atom
DFT total energy: -5.29 eV per atom

Cell: 5.119 5.119 5.119 Å, 60.00 60.00 60.00°
Fractional coordinates of all 4 atoms:
La  0.000  0.000  0.000
Lu  0.500  0.500  0.500
Pd  0.750  0.750  0.750
Au  0.250  0.250  0.250

***

Entry 2:
# K3Ce3PuS8

A geometry-optimized K3Ce3PuS8 structure (PBE, the Alexandria database).

Properties
Space group: R-3m (166)
Energy relative to the elements, uncorrected: -26.4 eV/f.u.
DFT total energy: -6.32 eV per atom

Cell: 8.832 8.832 8.832 Å, 56.10 56.10 56.10°
Fractional coordinates of all 15 atoms:
K  0.000  0.500  0.500
K  0.500  0.000  0.500
K  0.500  0.500  0.000
Ce  0.000  0.000  0.500
Ce  0.000  0.500  0.000
Ce  0.500  0.000  0.000
Pu  0.500  0.500  0.500
S  0.235  0.235  0.235
S  0.235  0.730  0.730
S  0.270  0.270  0.765
S  0.270  0.765  0.270
S  0.730  0.235  0.730
S  0.730  0.730  0.235
S  0.765  0.270  0.270
S  0.765  0.765  0.765

***

Entry 3:
# LiGaSe

A geometry-optimized LiGaSe structure (PBE, the Alexandria database).

Properties
Space group: R-3m (166)
Energy relative to the elements, uncorrected: -2.2 eV/f.u.
DFT total energy: -3.53 eV per atom

Cell: 8.530 8.530 8.530 Å, 28.58 28.58 28.58°
Fractional coordinates of all 6 atoms:
Li  0.203  0.203  0.203
Li  0.797  0.797  0.797
Ga  0.367  0.367  0.367
Ga  0.633  0.633  0.633
Se  0.096  0.096  0.096
Se  0.904  0.904  0.904

***

Entry 4:
# Li2BeCr

A geometry-optimized Li2BeCr structure (PBE, the Alexandria database).

Properties
Space group: Cmmm (65)
E_form: 0.56 eV per atom
DFT total energy: -3.73 eV per atom

Cell: 4.804 4.804 2.787 Å, 90.00 90.00 115.38°
Fractional coordinates of all 4 atoms:
Li  0.000  0.500  0.000
Li  0.500  0.000  0.000
Be  0.000  0.000  0.500
Cr  0.500  0.500  0.500

***

Entry 5:
# Pr2YIr

A geometry-optimized Pr2YIr structure (PBE, the Alexandria database).

Properties
Space group: Cmcm (63)
E_form: -0.41 eV per atom
DFT total energy: -6.64 eV per atom

Cell: 6.373 6.373 9.781 Å, 90.00 90.00 143.64°
Fractional coordinates of all 8 atoms:
Pr  0.139  0.861  0.567
Pr  0.139  0.861  0.933
Pr  0.861  0.139  0.067
Pr  0.861  0.139  0.433
Y  0.416  0.584  0.750
Y  0.584  0.416  0.250
Ir  0.256  0.744  0.250
Ir  0.744  0.256  0.750

***

Entry 6:
# ScTiGaH2

A geometry-optimized ScTiGaH2 structure (PBE, the Alexandria database).

Properties
Space group: P4/mmm (123)
DFT total energy: -4.55 eV per atom

Cell: 3.715 3.715 6.267 Å, 90.00 90.00 90.00°
Fractional coordinates of all 5 atoms:
Sc  0.000  0.000  0.000
Ti  0.000  0.000  0.500
Ga  0.500  0.500  0.500
H  0.000  0.500  0.000
H  0.500  0.000  0.000

***

Entry 7:
# NaCd3Pb5

A geometry-optimized NaCd3Pb5 structure (PBE, the Alexandria database).

Properties
Space group: C2/m (12)
E_form: 0.14 eV per atom
DFT total energy: -2.37 eV per atom

Cell: 7.418 7.418 11.264 Å, 94.46 94.46 76.05°
Fractional coordinates of all 18 atoms:
Na  0.132  0.132  0.285
Na  0.868  0.868  0.715
Cd  0.000  0.000  0.000
Cd  0.000  0.000  0.500
Cd  0.316  0.316  0.803
Cd  0.446  0.446  0.257
Cd  0.554  0.554  0.743
Cd  0.684  0.684  0.197
Pb  0.056  0.647  0.346
Pb  0.261  0.261  0.051
Pb  0.319  0.681  0.000
Pb  0.353  0.944  0.654
Pb  0.355  0.355  0.529
Pb  0.645  0.645  0.471
Pb  0.647  0.056  0.346
Pb  0.681  0.319  0.000
Pb  0.739  0.739  0.949
Pb  0.944  0.353  0.654

***

Question: Among the records above, which one has the lowest DFT total energy?
Answer: Pr2YIr